{
  "formula": "CaV2P2O10",
  "functional": "PBE with a Hubbard U",
  "state": "relaxed",
  "lattice": [[0.000, 8.037, 3.656], [5.879, 0.000, 3.656], [5.879, 8.037, 0.000]],
  "species": ["Ca", "Ca", "V", "V", "V", "V", "P", "P", "P", "P", "O", "O", "O", "O", "O", "O", "O", "O", "O", "O", "O", "O", "O", "O", "O", "O", "O", "O", "O", "O"],
  "fractional_positions": [[0.000, 0.000, 0.000], [0.250, 0.250, 0.250], [0.096, 0.626, 0.644], [0.606, 0.617, 0.154], [0.617, 0.606, 0.624], [0.626, 0.096, 0.633], [0.038, 0.454, 0.046], [0.204, 0.789, 0.212], [0.454, 0.038, 0.461], [0.789, 0.204, 0.796], [0.001, 0.330, 0.697], [0.068, 0.388, 0.901], [0.169, 0.858, 0.358], [0.241, 0.921, 0.556], [0.278, 0.553, 0.920], [0.330, 0.001, 0.972], [0.349, 0.607, 0.182], [0.388, 0.068, 0.643], [0.409, 0.580, 0.422], [0.553, 0.278, 0.249], [0.580, 0.409, 0.590], [0.607, 0.349, 0.862], [0.635, 0.892, 0.392], [0.660, 0.828, 0.670], [0.694, 0.967, 0.009], [0.828, 0.660, 0.841], [0.858, 0.169, 0.615], [0.892, 0.635, 0.081], [0.921, 0.241, 0.283], [0.967, 0.694, 0.329]],
  "spacegroup": "Fdd2, No. 43",
  "final_energy_ev_per_cell": -224.74
}